1.
Below is a relaxed Sc13Cd2 crystal, with properties calculated at the PBE level.

```
15
Lattice="-4.796 0.885 3.784 -4.033 -0.383 -6.856 -0.030 -7.014 4.118" Properties=species:S:1:pos:R:3 pbc="T T T"
Sc -4.119 -1.206 -3.895
Sc -5.794 -5.483 -0.744
Sc -2.694 -5.345 -0.015
Sc -5.972 0.200 -1.775
Sc 0.000 0.000 0.000
Sc -4.658 -3.893 2.061
Sc -2.886 -6.712 2.821
Sc -7.372 -2.627 -1.917
Sc -6.164 -1.167 1.060
Sc -4.201 -2.620 -1.015
Sc -4.740 -5.306 4.940
Sc -1.486 -3.885 2.963
Sc -3.064 -1.029 1.789
Cd -1.266 -2.712 0.175
Cd -7.592 -3.800 0.871
```

SG: No. 2
energy: -5.6378 eV/atom
DFT formation energy: -0.028 eV per atom

***

2.
Below is a relaxed CrMoAsH2 crystal, with properties calculated at the PBE level.

```
5
Lattice="3.548 0.000 0.000 0.000 4.943 0.000 0.000 0.000 3.548" Properties=species:S:1:pos:R:3 pbc="T T T"
H 1.774 0.000 0.000
H 0.000 0.000 1.774
Mo 0.000 0.000 0.000
Cr 0.000 2.472 0.000
As 1.774 2.472 1.774
```

SG: No. 123
energy: -5.7899 eV/atom

***

3.
Below is a relaxed Al2CrHOs crystal, with properties calculated at the PBE level.

```
5
Lattice="4.195 0.000 0.000 0.000 4.195 0.000 0.000 0.000 3.278" Properties=species:S:1:pos:R:3 pbc="T T T"
Cr 0.000 0.000 1.639
Os 2.097 2.097 1.639
H 0.000 0.000 0.000
Al 2.097 0.000 0.000
Al 0.000 2.097 0.000
```

SG: No. 123
energy: -6.4668 eV/atom

***

4.
Below is a relaxed PrDy8In6 crystal, with properties calculated at the PBE level.

```
15
Lattice="-7.769 -4.098 2.359 -0.477 -9.080 0.186 -0.880 -4.364 7.052" Properties=species:S:1:pos:R:3 pbc="T T T"
In -3.852 -5.764 6.751
In -7.597 -7.180 3.523
In -2.625 -7.383 2.027
In -1.529 -10.362 6.072
In -6.501 -10.159 7.569
In -5.274 -11.778 2.845
Dy -4.407 -11.794 5.850
Dy -2.743 -4.393 0.868
Dy -2.424 -10.423 3.076
Dy -7.445 -10.156 4.587
Dy -6.702 -7.120 6.520
Dy -1.681 -7.386 5.009
Dy -6.383 -13.150 8.728
Dy -4.719 -5.748 3.746
Pr 0.000 0.000 0.000
```

SG: No. 148
energy: -4.0798 eV/atom
DFT formation energy: -0.211 eV per atom

***

5.
Below is a relaxed CeBe4 crystal, with properties calculated at the PBE level.

```
5
Lattice="-2.329 -3.621 -2.263 4.261 -2.140 -0.961 -0.280 -2.442 4.197" Properties=species:S:1:pos:R:3 pbc="T T T"
Ce 0.826 -4.102 0.487
Be -1.304 -3.032 0.967
Be 0.966 -2.881 -1.612
Be 0.000 0.000 0.000
Be 1.991 -2.291 1.618
```

SG: No. 221
energy: -1.7543 eV/atom
DFT formation energy: 2.413 eV per atom

***

6.
Below is a relaxed CaInPb5 crystal, with properties calculated at the PBE level.

```
14
Lattice="6.549 0.116 -1.148 -0.957 8.069 -4.648 0.154 -0.464 8.588" Properties=species:S:1:pos:R:3 pbc="T T T"
Pb 1.379 2.621 2.381
Pb -0.205 4.557 4.719
Pb 2.920 5.881 3.416
Pb 0.995 0.908 5.227
Pb 1.389 7.488 -2.283
Pb 4.367 5.100 0.412
Pb 5.951 3.163 -1.927
Pb 2.827 1.839 -0.623
Pb 4.751 6.812 -2.435
Pb 4.357 0.232 5.076
Ca 4.722 2.109 2.135
Ca 1.025 5.611 0.658
In 2.796 4.092 -2.898
In 0.000 0.000 0.000
```

SG: No. 15
energy: -3.4056 eV/atom
DFT formation energy: -0.080 eV per atom

***

7.
Below is a relaxed Li3Co crystal, with properties calculated at the PBE level.

```
4
Lattice="4.944 0.000 0.000 -2.087 4.482 0.000 0.000 0.000 2.444" Properties=species:S:1:pos:R:3 pbc="T T T"
Li 2.472 0.000 1.222
Li -1.043 2.241 1.222
Li 1.429 2.241 0.000
Co 0.000 0.000 0.000
```

SG: No. 65
energy: -2.9934 eV/atom
DFT formation energy: 0.218 eV per atom

***

8.
Below is a relaxed ZrTl2Ir crystal, with properties calculated at the PBE level.

```
4
Lattice="4.824 0.000 0.000 0.000 3.219 0.010 0.000 0.503 5.457" Properties=species:S:1:pos:R:3 pbc="T T T"
Zr 2.412 0.931 1.367
Tl 0.000 2.093 2.782
Tl 0.000 3.490 5.418
Ir 2.412 2.792 4.100
```

SG: No. 10
energy: -5.3601 eV/atom
energy above the most stable polymorph in this dataset: 0.294 eV/atom
DFT formation energy: 0.175 eV per atom

***

9.
Below is a relaxed Nd3Sm6Y2Sc crystal, with properties calculated at the PBE level.

```
12
Lattice="-4.552 3.779 2.018 0.914 -5.539 2.750 8.687 5.563 5.953" Properties=species:S:1:pos:R:3 pbc="T T T"
Sm 2.125 -0.611 2.745
Sm 0.323 2.460 2.504
Sm 5.661 3.767 5.684
Sm 2.924 4.415 7.977
Sm -0.612 0.037 5.038
Sm 4.725 1.344 8.218
Nd 0.702 5.009 5.117
Nd 4.347 -1.205 5.605
Nd 2.524 1.902 5.361
Y -2.730 0.672 2.262
Y -0.909 -2.432 2.506
Sc 0.000 0.000 0.000
```

SG: No. 12
energy: -5.1282 eV/atom
DFT formation energy: 0.028 eV per atom

***

10.
Below is a relaxed RbNpGeO5 crystal, with properties calculated at the PBE level.

```
16
Lattice="6.202 0.073 -0.090 -1.741 5.953 -0.090 -1.962 -2.651 7.336" Properties=species:S:1:pos:R:3 pbc="T T T"
Np -0.981 -1.325 3.668
Np 0.000 0.000 0.000
O 4.299 -1.596 5.413
O 2.977 2.700 2.737
O 0.732 2.311 6.406
O 3.465 -0.229 2.761
O -2.212 1.922 6.429
O -1.801 4.971 1.744
O 1.766 1.064 0.751
O 4.710 1.453 0.728
O -0.966 3.604 4.396
O -0.479 0.675 4.420
Rb 0.410 3.335 1.744
Rb 2.088 0.041 5.413
Ge 3.247 1.235 1.744
Ge -0.748 2.140 5.413
```

SG: No. 15
uncorrected formation energy: -2.27 eV per atom
energy: -7.6840 eV/atom

***

11.
Below is a relaxed Ni2AsRu2 crystal, with properties calculated at the PBE level.

```
10
Lattice="-4.297 3.325 2.103 -2.207 0.540 -5.364 -2.210 -3.226 0.584" Properties=species:S:1:pos:R:3 pbc="T T T"
Ni -3.454 1.667 -3.861
Ni -1.393 0.656 -1.647
Ni -3.050 2.198 0.599
Ni -5.111 3.209 -1.614
Ru -2.920 -0.394 0.154
Ru -5.469 1.366 0.233
Ru -5.793 1.033 -2.830
Ru -3.245 -0.727 -2.910
As 0.000 0.000 0.000
As -3.252 1.932 -1.631
```

SG: No. 127
energy: -6.6844 eV/atom
energy above the most stable polymorph in this dataset: 0.057 eV/atom
DFT formation energy: 0.268 eV per atom